[1]
DFT (PBE) results for a geometry-optimized LaCo2Cl structure.

The structure belongs to space group I-42d (No. 122); the cell edges are 4.6052, 4.6052 and 14.2826 Å and the angles 90.00°, 90.00° and 90.00°. The distinct sites, in fractional coordinates, are La at (0.0000, 0.0000, 0.0000), Co at (0.0472, 0.2500, 0.6250) and Cl at (0.0000, 0.0000, 0.5000).

The crystal system is tetragonal. The calculation puts the energy relative to the lowest polymorph listed for this composition at 369.3 meV per atom.

=====

[2]
DFT (PBE) results for a geometry-optimized La2CoCl structure.

The structure belongs to space group Cmmm (No. 65); the cell edges are 7.3219, 7.3352 and 3.4269 Å and the angles 90.00°, 90.00° and 90.00°. The distinct sites, in fractional coordinates, are La at (0.2500, 0.2500, 0.0000), Co at (0.0000, 0.0000, 0.5000) and Cl at (0.0000, 0.5000, 0.5000).

The crystal system is orthorhombic. The calculation puts the energy relative to the lowest polymorph listed for this composition at 380.4 meV per atom.

=====

[3]
DFT (PBE) results for a geometry-optimized La3Co3Cl structure.

The structure belongs to space group P6_3/m (No. 176); the cell edges are 9.8137, 9.8137 and 4.0062 Å and the angles 90.00°, 90.00° and 120.00°. The distinct sites, in fractional coordinates, are La at (0.0963, 0.7175, 0.2500), Co at (0.0212, 0.8631, 0.7500) and Cl at (0.3333, 0.6667, 0.7500).

The crystal system is hexagonal.

=====

[4]
DFT (PBE) results for a geometry-optimized LaCo2Cl structure.

The structure belongs to space group P4/mmm (No. 123); the cell edges are 3.8336, 3.8336 and 5.4331 Å and the angles 90.00°, 90.00° and 90.00°. The distinct sites, in fractional coordinates, are La at (0.0000, 0.0000, 0.0000), Co at (0.0000, 0.5000, 0.5000) and Cl at (0.5000, 0.5000, 0.0000).

The crystal system is tetragonal. The calculation puts the energy relative to the lowest polymorph listed for this composition at 397.5 meV per atom.

=====

[5]
DFT (PBE) results for a geometry-optimized La2CoCl structure.

The structure belongs to space group R-3m (No. 166, hexagonal axes); the cell edges are 4.0275, 4.0275 and 22.9461 Å and the angles 90.00°, 90.00° and 120.00°. The distinct sites, in fractional coordinates, are La at (0.0000, 0.0000, 0.2333), Co at (0.0000, 0.0000, 0.5000) and Cl at (0.0000, 0.0000, 0.0000).

The crystal system is trigonal. The calculation puts the energy relative to the lowest polymorph listed for this composition at 0.0 meV per atom.

=====

[6]
DFT (PBE) results for a geometry-optimized La3CoCl2 structure.

The structure belongs to space group C2/m (No. 12); the cell edges are 7.2631, 12.4380 and 7.6930 Å and the angles 90.00°, 108.48° and 90.00°. The distinct sites, in fractional coordinates, are La at (0.2053, 0.0000, 0.2072), La at (0.2486, 0.1825, 0.7879), Co at (0.0000, 0.1672, 0.0000), Cl at (0.0000, 0.0000, 0.5000), Cl at (0.0000, 0.3440, 0.5000) and Cl at (0.0000, 0.5000, 0.0000).

The crystal system is monoclinic.

=====

Record-wise uncorrected formation energy values, in eV per atom: -0.017; -0.556; -0.477; 0.012; -0.936; -1.159
Record-wise size of the total moment values, in μB/atom: 0.00; 0.18; 0.00; 0.76; 0.00; 0.00
Record-wise energy values, in eV/atom: -5.263; -5.258; -5.898; -5.235; -5.638; -5.422